[1]
The following is a SCAN calculation of a crystal of ScAsO2 relaxed with PBEsol, from the Alexandria database.

## Properties
space group = I-42d (122)
formation energy (no corrections) = -670 kJ/mol of formula units

a = 5.8678 Å, b = 5.8678 Å, c = 5.8678 Å
α = 127.06°, β = 127.06°, γ = 78.16°
With the nearest neighbours (Å) after each atom.
Fractional coordinates of all 8 atoms:
Sc 0.0000 0.0000 0.0000  4 O 1.97
Sc 0.7500 0.2500 0.5000  4 O 1.97
As 0.2500 0.7500 0.5000  4 O 2.41
As 0.5000 0.5000 0.0000  4 O 2.41
O 0.0544 0.1250 0.4294  2 Sc 1.97
O 0.3750 0.9456 0.0706  2 Sc 1.97
O 0.6956 0.6250 0.5706  2 Sc 1.97
O 0.8750 0.3044 0.9294  2 Sc 1.97

***

[2]
The following is a SCAN calculation of a crystal of SiAsSe2O relaxed with PBEsol, from the Alexandria database.

## Properties
space group = P4/mmm (123)
formation energy (no corrections) = 461 kJ/mol of formula units

a = 4.6804 Å, b = 4.6804 Å, c = 4.7256 Å
α = 90.00°, β = 90.00°, γ = 90.00°
With the nearest neighbours (Å) after each atom.
Fractional coordinates of all 5 atoms:
Si 0.0000 0.0000 0.0000  4 Se 2.34, 2 As 2.36
As 0.0000 0.0000 0.5000  2 Si 2.36
Se 0.0000 0.5000 0.0000  2 Si 2.34
Se 0.5000 0.0000 0.0000  2 Si 2.34
O 0.5000 0.5000 0.5000  4 As 3.31, 8 Se 3.33

***

[3]
The following is a SCAN calculation of a crystal of TcAs2SeO relaxed with PBEsol, from the Alexandria database.

## Properties
space group = P4/mmm (123)
formation energy (no corrections) = 309 kJ/mol of formula units

a = 4.1598 Å, b = 4.1598 Å, c = 4.3877 Å
α = 90.00°, β = 90.00°, γ = 90.00°
With the nearest neighbours (Å) after each atom.
Fractional coordinates of all 5 atoms:
Tc 0.0000 0.0000 0.0000  4 Se 2.94, 8 As 3.02
As 0.0000 0.5000 0.5000  2 O 2.08
As 0.5000 0.0000 0.5000  2 O 2.08
Se 0.5000 0.5000 0.0000  2 O 2.19
O 0.5000 0.5000 0.5000  4 As 2.08, 2 Se 2.19

***

[4]
The following is a SCAN calculation of a crystal of YAs2SeO relaxed with PBEsol, from the Alexandria database.

## Properties
space group = P4/mmm (123)
formation energy (no corrections) = 326 kJ/mol of formula units

a = 5.3882 Å, b = 5.3882 Å, c = 5.2806 Å
α = 90.00°, β = 90.00°, γ = 90.00°
With the nearest neighbours (Å) after each atom.
Fractional coordinates of all 5 atoms:
Y 0.0000 0.0000 0.0000  2 Se 2.64, 4 As 2.69
As 0.0000 0.5000 0.0000  2 Y 2.69
As 0.5000 0.0000 0.0000  2 Y 2.69
Se 0.0000 0.0000 0.5000  2 Y 2.64
O 0.5000 0.5000 0.5000  8 As 3.77, 4 Se 3.81

***

[5]
The following is a SCAN calculation of a crystal of Si2As2O7 relaxed with PBEsol, from the Alexandria database.

## Properties
space group = P-1 (2)
formation energy (no corrections) = -2326 kJ/mol of formula units

a = 7.0941 Å, b = 7.1068 Å, c = 13.2214 Å
α = 89.96°, β = 80.91°, γ = 88.23°
With the nearest neighbours (Å) after each atom.
Fractional coordinates of all 44 atoms:
Si 0.0214 0.3142 0.1325  4 O 1.63-1.64
Si 0.2333 0.1528 0.3865  4 O 1.63-1.65
Si 0.3517 0.2680 0.5952  4 O 1.62-1.65
Si 0.3997 0.1659 0.8047  4 O 1.62-1.65
Si 0.6003 0.8341 0.1953  4 O 1.62-1.65
Si 0.6483 0.7320 0.4048  4 O 1.62-1.65
Si 0.7667 0.8472 0.6135  4 O 1.63-1.65
Si 0.9786 0.6858 0.8675  4 O 1.63-1.64
As 0.0162 0.7664 0.1005  3 O 1.78-1.82
As 0.2014 0.7016 0.6350  3 O 1.80-1.81
As 0.2495 0.6918 0.3394  3 O 1.80-1.82
As 0.4430 0.2583 0.1679  3 O 1.78-1.83
As 0.5570 0.7417 0.8321  3 O 1.78-1.83
As 0.7505 0.3082 0.6606  3 O 1.80-1.82
As 0.7986 0.2984 0.3650  3 O 1.80-1.81
As 0.9838 0.2336 0.8995  3 O 1.78-1.82
O 0.0398 0.2839 0.3929  1 Si 1.63, 1 As 1.81
O 0.0620 0.7782 0.9641  1 Si 1.64, 1 As 1.78
O 0.0976 0.5272 0.1123  1 Si 1.63, 1 As 1.79
O 0.1567 0.6993 0.7731  1 Si 1.64, 1 As 1.80
O 0.1908 0.9388 0.3548  1 Si 1.63, 1 As 1.80
O 0.2042 0.1859 0.1572  1 Si 1.64, 1 As 1.81
O 0.2060 0.4488 0.6191  1 Si 1.62, 1 As 1.81
O 0.2370 0.2811 0.8845  1 Si 1.64, 1 As 1.82
O 0.3019 0.1502 0.4985  2 Si 1.62-1.63
O 0.3233 0.1279 0.6952  2 Si 1.65
O 0.4064 0.2497 0.3076  1 Si 1.65, 1 As 1.83
O 0.4141 0.6997 0.2202  1 Si 1.65, 1 As 1.81
O 0.4235 0.6703 0.4263  1 Si 1.65, 1 As 1.82
O 0.4508 0.9707 0.8587  1 Si 1.62, 1 As 1.78
O 0.5492 0.0293 0.1413  1 Si 1.62, 1 As 1.78
O 0.5765 0.3297 0.5737  1 Si 1.65, 1 As 1.82
O 0.5859 0.3003 0.7798  1 Si 1.65, 1 As 1.81
O 0.5936 0.7503 0.6924  1 Si 1.65, 1 As 1.83
O 0.6767 0.8721 0.3048  2 Si 1.65
O 0.6981 0.8498 0.5015  2 Si 1.62-1.63
O 0.7630 0.7189 0.1155  1 Si 1.64, 1 As 1.82
O 0.7940 0.5512 0.3809  1 Si 1.62, 1 As 1.81
O 0.7958 0.8141 0.8428  1 Si 1.64, 1 As 1.81
O 0.8092 0.0612 0.6452  1 Si 1.63, 1 As 1.80
O 0.8433 0.3007 0.2269  1 Si 1.64, 1 As 1.80
O 0.9024 0.4728 0.8877  1 Si 1.63, 1 As 1.79
O 0.9380 0.2218 0.0359  1 Si 1.64, 1 As 1.78
O 0.9602 0.7161 0.6071  1 Si 1.63, 1 As 1.81

***

[6]
The following is a SCAN calculation of a crystal of Si3AsO relaxed with PBEsol, from the Alexandria database.

## Properties
space group = Pm-3m (221)
formation energy (no corrections) = 220 kJ/mol of formula units

a = 4.2306 Å, b = 4.2306 Å, c = 4.2306 Å
α = 90.00°, β = 90.00°, γ = 90.00°
With the nearest neighbours (Å) after each atom.
Fractional coordinates of all 5 atoms:
Si 0.0000 0.0000 0.5000  2 O 2.12
Si 0.0000 0.5000 0.0000  2 O 2.12
Si 0.5000 0.0000 0.0000  2 O 2.12
As 0.5000 0.5000 0.5000  12 Si 2.99
O 0.0000 0.0000 0.0000  6 Si 2.12

***

[7]
The following is a SCAN calculation of a crystal of SiAsO2 relaxed with PBEsol, from the Alexandria database.

## Properties
space group = R-3m (166)
formation energy (no corrections) = -706 kJ/mol of formula units

a = 9.6461 Å, b = 9.6461 Å, c = 9.6461 Å
α = 16.02°, β = 16.02°, γ = 16.02°
With the nearest neighbours (Å) after each atom.
Fractional coordinates of all 4 atoms:
Si 0.0000 0.0000 0.0000  6 O 1.80
As 0.5000 0.5000 0.5000  6 As 2.69
O 0.3652 0.3652 0.3652  3 Si 1.80
O 0.6348 0.6348 0.6348  3 Si 1.80

***

[8]
The following is a SCAN calculation of a crystal of Sm2As4O9 relaxed with PBEsol, from the Alexandria database.

## Properties
space group = P-1 (2)
formation energy (no corrections) = -3252 kJ/mol of formula units

a = 6.7822 Å, b = 7.5470 Å, c = 9.4621 Å
α = 96.44°, β = 103.41°, γ = 104.70°
With the nearest neighbours (Å) after each atom.
Fractional coordinates of all 30 atoms:
Sm 0.2245 0.0322 0.4088  7 O 2.33-2.50
Sm 0.2535 0.5567 0.3793  8 O 2.32-2.58
Sm 0.7465 0.4433 0.6207  8 O 2.32-2.58
Sm 0.7755 0.9678 0.5912  7 O 2.33-2.50
As 0.1777 0.2663 0.0586  3 O 1.75-1.87
As 0.2471 0.4209 0.7179  3 O 1.74-1.88
As 0.3098 0.8557 0.7111  3 O 1.75-1.92
As 0.3290 0.7416 0.0761  3 O 1.75-1.85
As 0.6710 0.2584 0.9239  3 O 1.75-1.85
As 0.6902 0.1443 0.2889  3 O 1.75-1.92
As 0.7529 0.5791 0.2821  3 O 1.74-1.88
As 0.8223 0.7337 0.9414  3 O 1.75-1.87
O 0.0099 0.7265 0.3224  1 As 1.74
O 0.1097 0.8256 0.9877  2 As 1.82-1.83
O 0.1256 0.9644 0.6293  1 As 1.75
O 0.1298 0.6042 0.6465  2 As 1.88-1.92
O 0.1869 0.5147 0.1131  2 As 1.85-1.87
O 0.2351 0.2485 0.2460  1 As 1.75
O 0.3428 0.3697 0.5605  1 As 1.80
O 0.3805 0.8422 0.2613  1 As 1.75
O 0.4074 0.8322 0.5500  1 As 1.81
O 0.5926 0.1678 0.4500  1 As 1.81
O 0.6195 0.1578 0.7387  1 As 1.75
O 0.6572 0.6303 0.4395  1 As 1.80
O 0.7649 0.7515 0.7540  1 As 1.75
O 0.8131 0.4853 0.8869  2 As 1.85-1.87
O 0.8702 0.3958 0.3535  2 As 1.88-1.92
O 0.8744 0.0356 0.3707  1 As 1.75
O 0.8903 0.1744 0.0123  2 As 1.82-1.83
O 0.9901 0.2735 0.6776  1 As 1.74